[1]
The following is a DFT calculation (PBE-GGA) of crystalline PmHoP at its relaxed geometry.

Lattice parameters (Å, degrees): 3.9471 3.9471 6.4922 90.00 90.00 120.00
Fractional coordinates of all 3 atoms:
Pm  0.0000  0.0000  0.0000
Ho  0.6667  0.3333  0.5068
P  0.3333  0.6667  0.7426

## Properties
total DFT energy (no corrections) = -5.86 eV per atom
SG = No. 156
formation enthalpy at 0 K = -0.94 eV per atom

---

[2]
The following is a DFT calculation (PBE-GGA) of crystalline K2MnMo at its relaxed geometry.

Lattice parameters (Å, degrees): 2.8807 6.1685 5.3137 90.00 93.48 90.00
Fractional coordinates of all 4 atoms:
K  0.2341  0.0000  0.2524
K  0.7659  0.0000  0.7476
Mn  0.0000  0.5000  0.5000
Mo  0.5000  0.5000  0.0000

## Properties
total DFT energy (no corrections) = -4.14 eV per atom
SG = No. 10
formation enthalpy at 0 K = 1.41 eV per atom

---

[3]
The following is a DFT calculation (PBE-GGA) of crystalline Pa2BeGe3 at its relaxed geometry.

Lattice parameters (Å, degrees): 3.9847 4.0189 7.2685 90.00 90.00 90.00
Fractional coordinates of all 6 atoms:
Pa  0.0000  0.0000  0.0000
Pa  0.5000  0.0000  0.4948
Be  0.5000  0.5000  0.1748
Ge  0.0000  0.5000  0.3024
Ge  0.0000  0.5000  0.6535
Ge  0.5000  0.5000  0.8691

## Properties
total DFT energy (no corrections) = -6.45 eV per atom
SG = No. 25
formation enthalpy at 0 K = -0.35 eV per atom

---

[4]
The following is a DFT calculation (PBE-GGA) of crystalline CaAcGaBi at its relaxed geometry.

Lattice parameters (Å, degrees): 5.6238 5.6238 5.6238 60.00 60.00 60.00
Fractional coordinates of all 4 atoms:
Ca  0.0000  0.0000  0.0000
Ac  0.5000  0.5000  0.5000
Ga  0.7500  0.7500  0.7500
Bi  0.2500  0.2500  0.2500

## Properties
total DFT energy (no corrections) = -3.77 eV per atom
SG = No. 216
formation enthalpy at 0 K = -0.51 eV per atom

---

Which value of total DFT energy (no corrections) does entry 4 give? -3.77 eV per atom

---

formation enthalpy at 0 K of number 1 (PmHoP)? -0.94 eV per atom

---

Please write out number 1 again, unchanged.
The following is a DFT calculation (PBE-GGA) of crystalline PmHoP at its relaxed geometry.

Lattice parameters (Å, degrees): 3.9471 3.9471 6.4922 90.00 90.00 120.00
Fractional coordinates of all 3 atoms:
Pm  0.0000  0.0000  0.0000
Ho  0.6667  0.3333  0.5068
P  0.3333  0.6667  0.7426

## Properties
total DFT energy (no corrections) = -5.86 eV per atom
SG = No. 156
formation enthalpy at 0 K = -0.94 eV per atom